Entry 1:
! PBE LiLa3Hg, relaxed; values from VASP
&SYSTEM
  ibrav = 0, nat = 10, ntyp = 3
/
ATOMIC_SPECIES
Hg 200.59 Hg.upf
Li 6.94 Li.upf
La 138.91 La.upf
CELL_PARAMETERS angstrom
5.2996 0.0000 1.2111
0.0000 5.4537 0.0000
0.3469 0.0000 10.6826
ATOMIC_POSITIONS crystal
Hg 0.6696 0.7500 0.3091
Hg 0.9787 0.2500 0.6909
Li 0.4743 0.7500 0.6997
Li 0.1740 0.2500 0.3003
La 0.2669 0.7500 0.1145
La 0.8859 0.7500 0.8765
La 0.0750 0.7500 0.4983
La 0.3814 0.2500 0.8855
La 0.5733 0.2500 0.5017
La 0.7624 0.2500 0.1235
! Energy above the lowest structure with this stoichiometry (kJ/mol of formula units): 0
! Formation enthalpy at 0 K (eV/f.u.): -0.87
! Space-group type: No. 63


Entry 2:
! PBE Na2SnBiTe4, relaxed; values from VASP
&SYSTEM
  ibrav = 0, nat = 8, ntyp = 4
/
ATOMIC_SPECIES
Te 127.60 Te.upf
Na 22.99 Na.upf
Sn 118.71 Sn.upf
Bi 208.98 Bi.upf
CELL_PARAMETERS angstrom
4.4131 0.0000 0.0000
0.0000 7.6927 0.1368
0.0000 -2.6993 7.6611
ATOMIC_POSITIONS crystal
Te 0.5000 0.7504 0.7641
Te 0.5000 0.2496 0.2359
Te 0.0000 0.2591 0.7666
Te 0.0000 0.7409 0.2334
Na 0.5000 0.0000 0.5000
Na 0.0000 0.5000 0.5000
Sn 0.5000 0.5000 0.0000
Bi 0.0000 0.0000 0.0000
! E_form (uncorrected) (kJ/mol of atoms): -49
! Space-group type: No. 10


Entry 3:
! PBE CsYBSe4, relaxed; values from VASP
&SYSTEM
  ibrav = 0, nat = 14, ntyp = 4
/
ATOMIC_SPECIES
Y 88.91 Y.upf
Se 78.96 Se.upf
B 10.81 B.upf
Cs 132.91 Cs.upf
CELL_PARAMETERS angstrom
6.9184 0.0000 0.1510
0.0000 5.8945 0.0000
-2.4668 0.0000 9.8024
ATOMIC_POSITIONS crystal
Y 0.2461 0.2500 0.5474
Y 0.7539 0.7500 0.4526
Se 0.9775 0.4969 0.6980
Se 0.6155 0.2500 0.4540
Se 0.0225 0.9969 0.3020
Se 0.0225 0.5031 0.3020
Se 0.3845 0.7500 0.5460
Se 0.4415 0.7500 0.2129
Se 0.5585 0.2500 0.7871
Se 0.9775 0.0031 0.6980
B 0.7441 0.2500 0.6584
B 0.2559 0.7500 0.3416
Cs 0.7456 0.7500 0.9628
Cs 0.2544 0.2500 0.0372
! E_form (uncorrected) (kJ/mol of atoms): -98
! Space-group type: No. 11


no.,DOS at the Fermi energy (states/eV per atom),density (g/cm³)
1,1.17,6.76
2,0.35,5.61
3,0.23,4.53